Entry 1:
This record from Alexandria via LeMat-Bulk describes a relaxed structure of LaSn2Cl. The functional is PBE.

Summary:
- Crystal system: cubic
- DOS(E_F): 1.9 states/eV/f.u.
- Energy above the most stable polymorph in this dataset: 26.89 kJ per mole of atoms
- Raw formation energy: -0.2923 eV/atom

a = 5.4743 Å, b = 5.4743 Å, c = 5.4743 Å
α = 60.00°, β = 60.00°, γ = 60.00°
With the nearest neighbours (Å) after each atom.
Fractional positions:
1 Cl 0.0000 0.0000 0.0000  8 Sn 3.35
2 Sn 0.2500 0.2500 0.2500  4 La 3.35, 4 Cl 3.35
3 Sn 0.7500 0.7500 0.7500  4 La 3.35, 4 Cl 3.35
4 La 0.5000 0.5000 0.5000  8 Sn 3.35


Entry 2:
This record from Alexandria via LeMat-Bulk describes a relaxed structure of LaSnCl3. The functional is PBE.

Summary:
- Crystal system: cubic
- DOS(E_F): 5.1 states/eV/f.u.
- Energy above the most stable polymorph in this dataset: 0.00 kJ per mole of atoms
- Raw formation energy: -1.2786 eV/atom

a = 5.5958 Å, b = 5.5958 Å, c = 5.5958 Å
α = 90.00°, β = 90.00°, γ = 90.00°
With the nearest neighbours (Å) after each atom.
Fractional positions:
1 Cl 0.0000 0.5000 0.0000  2 La 2.80
2 Cl 0.0000 0.0000 0.5000  2 La 2.80
3 Cl 0.5000 0.0000 0.0000  2 La 2.80
4 Sn 0.5000 0.5000 0.5000  12 Cl 3.96
5 La 0.0000 0.0000 0.0000  6 Cl 2.80


Entry 3:
This record from Alexandria via LeMat-Bulk describes a relaxed structure of LaSnCl3. The functional is PBE.

Summary:
- Crystal system: cubic
- DOS(E_F): 6.6 states/eV/f.u.
- Energy above the most stable polymorph in this dataset: 59.37 kJ per mole of atoms
- Raw formation energy: -0.6633 eV/atom

a = 5.5092 Å, b = 5.5092 Å, c = 5.5092 Å
α = 90.00°, β = 90.00°, γ = 90.00°
With the nearest neighbours (Å) after each atom.
Fractional positions:
1 Cl 0.0000 0.5000 0.0000  2 Sn 2.75
2 Cl 0.0000 0.0000 0.5000  2 Sn 2.75
3 Cl 0.5000 0.0000 0.0000  2 Sn 2.75
4 Sn 0.0000 0.0000 0.0000  6 Cl 2.75
5 La 0.5000 0.5000 0.5000  12 Cl 3.90